A relaxed Pm2AsF crystal. Source: Alexandria via LeMat-Bulk, functional PBE.

POSCAR file:
```
Pm2AsF
1.0
2.0796 1.2007 7.8476
-2.0796 1.2007 7.8476
0.0000 -2.4014 7.8476
Pm As F
2 1 1
direct
0.0965 0.0965 0.0965
0.9035 0.9035 0.9035
0.5000 0.5000 0.5000
0.0000 0.0000 0.0000
```

Results
Formation energy from raw total energies (kJ per mole of atoms): -185.6
Magnetic moment (μB per formula unit): 0.000
Polymorph energy (0 for the lowest one) (meV per atom): 0